Density functional theory data (PBE) for a geometry-optimized Hf2CoOs structure.

## Properties
VASP energy, eV/atom: -9.431
Density, g/cm3: 14.367
Calculated formation energy, eV per atom: 0.13

abc: 6.9595 6.9595 5.7857
angles: 90.00 90.00 90.00
Space group I-42d (No. 122)
Asymmetric unit:
Hf 0.2330 0.2500 0.1250 x8
Co 0.0000 0.0000 0.0000 x4
Os 0.0000 0.0000 0.5000 x4